DFT (PBE+U) results for a relaxed BaLi2V2O7 crystal.

Cell: 5.6222 5.6222 8.7396 Å, 71.24 71.24 60.00°
Last column: nearest neighbours and their distance in Å.
Atoms (fractional coordinates):
Ba: 0.5000 0.5000 0.5000  6 O 2.74
Li: 0.7534 0.7534 0.7398  3 O 1.89
Li: 0.2466 0.2466 0.2602  3 O 1.89
V: 0.9257 0.9257 0.2230  4 O 1.72-1.81
V: 0.0743 0.0743 0.7770  4 O 1.72-1.81
O: 0.1673 0.9410 0.2955  1 V 1.72, 1 Li 1.89
O: 0.5961 0.1673 0.2955  1 V 1.72, 1 Li 1.89
O: 0.9410 0.5961 0.2955  1 V 1.72, 1 Li 1.89
O: 0.4039 0.0590 0.7045  1 V 1.72, 1 Li 1.89
O: 0.8327 0.4039 0.7045  1 V 1.72, 1 Li 1.89
O: 0.0000 0.0000 0.0000  2 V 1.81
O: 0.0590 0.8327 0.7045  1 V 1.72, 1 Li 1.89

Summary:
Space group: R32, No. 155

=====

DFT (PBE+U) results for a relaxed BaLiVO3 crystal.

Cell: 5.5859 5.6763 5.8934 Å, 118.79 90.00 90.00°
Last column: nearest neighbours and their distance in Å.
Atoms (fractional coordinates):
Ba: 0.7500 0.2176 0.4352  8 O 2.83-3.02, 1 Li 2.97
Ba: 0.2500 0.7824 0.5648  8 O 2.83-3.02, 1 Li 2.97
Li: 0.2500 0.0698 0.1395  5 O 1.99-2.14
Li: 0.7500 0.9302 0.8605  5 O 1.99-2.14
V: 0.2500 0.4496 0.8991  5 O 1.93-2.03
V: 0.7500 0.5504 0.1009  5 O 1.93-2.03
O: 0.2500 0.2623 0.5246  1 V 1.93, 1 Li 1.99
O: 0.0000 0.2564 0.0000  2 V 2.03, 2 Li 2.14
O: 0.5000 0.7436 0.0000  2 V 2.03, 2 Li 2.14
O: 0.5000 0.2564 0.0000  2 V 2.03, 2 Li 2.14
O: 0.0000 0.7436 0.0000  2 V 2.03, 2 Li 2.14
O: 0.7500 0.7377 0.4754  1 V 1.93, 1 Li 1.99

Summary:
Space group: Cmcm, No. 63

=====

DFT (PBE+U) results for a relaxed Ba2LiV2O6 crystal.

Cell: 6.0231 6.0231 6.6880 Å, 63.24 63.24 60.00°
Last column: nearest neighbours and their distance in Å.
Atoms (fractional coordinates):
Ba: 0.7864 0.7864 0.6408  9 O 2.81-3.07
Ba: 0.2136 0.2136 0.3592  9 O 2.81-3.07
Li: 0.0000 0.0000 0.0000  6 O 2.25
V: 0.4190 0.4190 0.7431  3 O 1.75
V: 0.5810 0.5810 0.2569  3 O 1.75
O: 0.7501 0.7501 0.2535  1 V 1.75
O: 0.2463 0.7501 0.2535  1 V 1.75
O: 0.7501 0.2463 0.2535  1 V 1.75
O: 0.2499 0.7537 0.7465  1 V 1.75
O: 0.7537 0.2499 0.7465  1 V 1.75
O: 0.2499 0.2499 0.7465  1 V 1.75

Summary:
Space group: R-3m, No. 166

=====

DFT (PBE+U) results for a relaxed BaLiV2O6 crystal.

Cell: 5.1269 5.1269 7.0213 Å, 68.59 68.59 60.00°
Last column: nearest neighbours and their distance in Å.
Atoms (fractional coordinates):
Ba: 0.0000 0.0000 0.0000  6 O 2.69
Li: 0.5000 0.5000 0.5000  6 O 2.14
V: 0.8212 0.8212 0.5365  3 O 1.83
V: 0.1788 0.1788 0.4635  3 O 1.83
O: 0.0822 0.4442 0.6648  1 V 1.83
O: 0.8088 0.0822 0.6648  1 V 1.83
O: 0.5558 0.1912 0.3352  1 V 1.83
O: 0.9178 0.5558 0.3352  1 V 1.83
O: 0.1912 0.9178 0.3352  1 V 1.83
O: 0.4442 0.8088 0.6648  1 V 1.83

Summary:
Space group: R-3, No. 148

=====

DFT (PBE+U) results for a relaxed Ba2LiVO6 crystal.

Cell: 5.7291 5.7291 10.4319 Å, 74.06 74.06 60.00°
Last column: nearest neighbours and their distance in Å.
Atoms (fractional coordinates):
Ba: 0.8742 0.8742 0.3775  12 O 2.88-3.18
Ba: 0.1258 0.1258 0.6225  12 O 2.88-3.18
Ba: 0.7099 0.7099 0.8704  12 O 2.87-3.02
Ba: 0.2901 0.2901 0.1296  12 O 2.87-3.02
Li: 0.0000 0.0000 0.0000  6 O 2.17
Li: 0.5000 0.5000 0.5000  6 O 2.01
V: 0.5947 0.5947 0.2158  3 O 1.78
V: 0.4053 0.4053 0.7842  3 O 1.78
O: 0.8423 0.3985 0.3606  1 Li 2.01, 1 V 2.05
O: 0.3985 0.8423 0.3606  1 Li 2.01, 1 V 2.05
O: 0.3985 0.3985 0.3606  1 Li 2.01, 1 V 2.05
O: 0.1577 0.6015 0.6394  1 Li 2.01, 1 V 2.05
O: 0.6015 0.1577 0.6394  1 Li 2.01, 1 V 2.05
O: 0.6015 0.6015 0.6394  1 Li 2.01, 1 V 2.05
O: 0.6932 0.2188 0.8692  1 V 1.78
O: 0.2188 0.6932 0.8692  1 V 1.78
O: 0.2188 0.2188 0.8692  1 V 1.78
O: 0.3068 0.7812 0.1308  1 V 1.78
O: 0.7812 0.3068 0.1308  1 V 1.78
O: 0.7812 0.7812 0.1308  1 V 1.78

Summary:
Space group: R-3m, No. 166

=====

DFT (PBE+U) results for a relaxed BaLi3V4O12 crystal.

Cell: 7.0118 7.0118 7.0118 Å, 110.00 110.00 110.00°
Last column: nearest neighbours and their distance in Å.
Atoms (fractional coordinates):
Ba: 0.0000 0.0000 0.0000  6 O 2.82
Li: 0.5702 0.4298 0.0000  6 O 2.12-2.19
Li: 0.4298 0.0000 0.5702  6 O 2.12-2.19
Li: 0.0000 0.5702 0.4298  6 O 2.12-2.19
V: 0.9292 0.0708 0.5000  3 O 1.67-1.74
V: 0.0708 0.5000 0.9292  3 O 1.67-1.74
V: 0.5000 0.9292 0.0708  3 O 1.67-1.74
V: 0.5000 0.5000 0.5000  3 O 1.73
O: 0.5000 0.3496 0.6504  1 V 1.73
O: 0.9253 0.5000 0.0747  1 V 1.67
O: 0.0747 0.9253 0.5000  1 V 1.67
O: 0.5000 0.0747 0.9253  1 V 1.67
O: 0.3435 0.9007 0.2164  1 V 1.74
O: 0.2164 0.3435 0.9007  1 V 1.74
O: 0.9007 0.2164 0.3435  1 V 1.74
O: 0.6565 0.7836 0.0993  1 V 1.74
O: 0.0993 0.6565 0.7836  1 V 1.74
O: 0.7836 0.0993 0.6565  1 V 1.74
O: 0.6504 0.5000 0.3496  1 V 1.73
O: 0.3496 0.6504 0.5000  1 V 1.73

Summary:
Space group: R32, No. 155

=====

no.,VASP energy (eV per atom),mass density (Mg/m³)
1,-6.856,2.73
2,-6.514,4.93
3,-6.686,4.44
4,-7.007,3.92
5,-6.339,5.06
6,-6.610,3.54